w.
Below is a relaxed structure of Pb2ClOF, with properties calculated at the GGA-PBE level.

Output
density: 7.55 g/cm3
M_tot: 0.0 μB/cell

Cell: 7.060 7.060 7.060 Å, 146.52 146.52 48.08°
Sites, in units of the cell vectors:
Pb (0.146, 0.146, 0.000)
Pb (0.854, 0.854, 0.000)
Cl (0.500, 0.500, 0.000)
O (0.750, 0.250, 0.500)
F (0.250, 0.750, 0.500)



x.
Below is a relaxed structure of Pb2ClOF, with properties calculated at the GGA-PBE level.

Output
density: 7.32 g/cm3
M_tot: 0.0 μB/cell

Cell: 7.041 7.041 5.883 Å, 90.00 90.00 131.02°
Sites, in units of the cell vectors:
Pb (0.102, 0.898, 0.781)
Pb (0.398, 0.602, 0.781)
Pb (0.602, 0.398, 0.219)
Pb (0.898, 0.102, 0.219)
Cl (0.250, 0.750, 0.208)
Cl (0.750, 0.250, 0.792)
O (0.250, 0.250, 0.000)
O (0.750, 0.750, 0.000)
F (0.250, 0.250, 0.500)
F (0.750, 0.750, 0.500)



Which structure loses on stability? w does.



w.
Below is a relaxed structure of TeCl2OF, with properties calculated at the GGA-PBE level.

Output
density: 3.29 g/cm3
M_tot: 2.0 μB/cell

Cell: 5.390 5.390 4.056 Å, 90.00 90.00 90.00°
Sites, in units of the cell vectors:
Te (0.000, 0.000, 0.000)
Cl (0.000, 0.500, 0.500)
Cl (0.500, 0.000, 0.500)
O (0.500, 0.500, 0.000)
F (0.000, 0.000, 0.500)



x.
Below is a relaxed structure of TeCl2OF, with properties calculated at the GGA-PBE level.

Output
density: 4.28 g/cm3
M_tot: 0.0 μB/cell

Cell: 4.478 4.478 4.519 Å, 90.00 90.00 90.00°
Sites, in units of the cell vectors:
Te (0.000, 0.000, 0.000)
Cl (0.000, 0.500, 0.500)
Cl (0.500, 0.000, 0.500)
O (0.000, 0.000, 0.500)
F (0.500, 0.500, 0.000)



Which structure loses on stability? w does.



w.
Below is a relaxed structure of OsCl3F, with properties calculated at the GGA-PBE level.

Output
density: 3.14 g/cm3
M_tot: 8.0 μB/cell

Cell: 7.510 8.458 10.734 Å, 90.00 101.29 90.00°
Sites, in units of the cell vectors:
Os (0.091, 0.137, 0.117)
Os (0.091, 0.863, 0.617)
Os (0.909, 0.137, 0.383)
Os (0.909, 0.863, 0.883)
Cl (0.039, 0.147, 0.597)
Cl (0.039, 0.853, 0.097)
Cl (0.113, 0.403, 0.130)
Cl (0.113, 0.597, 0.630)
Cl (0.373, 0.105, 0.087)
Cl (0.373, 0.895, 0.587)
Cl (0.627, 0.105, 0.413)
Cl (0.627, 0.895, 0.913)
Cl (0.887, 0.403, 0.370)
Cl (0.887, 0.597, 0.870)
Cl (0.961, 0.147, 0.903)
Cl (0.961, 0.853, 0.403)
F (0.156, 0.136, 0.318)
F (0.156, 0.864, 0.818)
F (0.844, 0.136, 0.182)
F (0.844, 0.864, 0.682)



x.
Below is a relaxed structure of OsCl3F, with properties calculated at the GGA-PBE level.

Output
density: 4.15 g/cm3
M_tot: 4.0 μB/cell

Cell: 8.015 3.604 8.752 Å, 90.00 90.00 90.00°
Sites, in units of the cell vectors:
Os (0.250, 0.000, 0.224)
Os (0.750, 0.000, 0.776)
Cl (0.055, 0.500, 0.215)
Cl (0.250, 0.000, 0.481)
Cl (0.445, 0.500, 0.215)
Cl (0.555, 0.500, 0.785)
Cl (0.750, 0.000, 0.519)
Cl (0.945, 0.500, 0.785)
F (0.250, 0.000, 0.004)
F (0.750, 0.000, 0.996)



y.
Below is a relaxed structure of OsCl3F, with properties calculated at the GGA-PBE level.

Output
density: 5.07 g/cm3
M_tot: 1.6 μB/cell

Cell: 4.692 4.692 4.692 Å, 90.00 90.00 90.00°
Sites, in units of the cell vectors:
Os (0.000, 0.000, 0.000)
Cl (0.000, 0.000, 0.500)
Cl (0.000, 0.500, 0.000)
Cl (0.500, 0.000, 0.000)
F (0.500, 0.500, 0.500)



z.
Below is a relaxed structure of OsCl3F, with properties calculated at the GGA-PBE level.

Output
density: 5.24 g/cm3
M_tot: 4.4 μB/cell

Cell: 4.641 4.641 4.641 Å, 90.00 90.00 90.00°
Sites, in units of the cell vectors:
Os (0.000, 0.000, 0.000)
Cl (0.000, 0.500, 0.500)
Cl (0.500, 0.000, 0.500)
Cl (0.500, 0.500, 0.000)
F (0.500, 0.500, 0.500)



Which structure loses on stability? z does.



w.
Below is a relaxed structure of OsClF6, with properties calculated at the GGA-PBE level.

Output
density: 4.06 g/cm3
M_tot: 1.0 μB/cell

Cell: 5.577 5.579 6.073 Å, 62.89 62.73 60.05°
Sites, in units of the cell vectors:
Os (0.000, 0.000, 0.000)
Cl (0.500, 0.500, 0.500)
F (0.083, 0.092, 0.211)
F (0.090, 0.616, 0.211)
F (0.385, 0.916, 0.789)
F (0.615, 0.084, 0.211)
F (0.910, 0.384, 0.789)
F (0.917, 0.908, 0.789)



x.
Below is a relaxed structure of OsClF6, with properties calculated at the GGA-PBE level.

Output
density: 3.74 g/cm3
M_tot: 2.8 μB/cell

Cell: 5.781 5.781 5.731 Å, 112.15 112.15 61.28°
Sites, in units of the cell vectors:
Os (0.000, 0.000, 0.000)
Cl (0.500, 0.500, 0.500)
F (0.101, 0.648, 0.782)
F (0.111, 0.111, 0.808)
F (0.352, 0.899, 0.218)
F (0.648, 0.101, 0.782)
F (0.889, 0.889, 0.192)
F (0.899, 0.352, 0.218)



Which structure loses on stability? x does.